# Li2CoPbF8, optimized geometry, DFT GGA+U
# magnetic moment = 8.073 Bohr magnetons per cell
# E_tot = -110.34 eV/cell
data_Li2CoPbF8
_symmetry_space_group_name_H-M 'C m m m'
_symmetry_Int_Tables_number 65
_symmetry_space_group_name_Hall '-C 2 2'
_cell_length_a 6.6939
_cell_length_b 6.7430
_cell_length_c 6.7456
_cell_angle_alpha 90.00
_cell_angle_beta 90.00
_cell_angle_gamma 90.00
loop_
_atom_site_label
_atom_site_type_symbol
_atom_site_fract_x
_atom_site_fract_y
_atom_site_fract_z
Li1 Li 0.0000 0.0000 0.2334
Co1 Co 0.0000 0.5000 0.0000
Pb1 Pb 0.0000 0.5000 0.5000
F1 F 0.0000 0.1739 0.5000
F2 F 0.0000 0.2255 0.0000
F3 F 0.2021 0.5000 0.2177